a.
Density functional theory data (GGA-PBE) for a relaxed TbNd3Y3 crystal.

Values from the calculation:
**SG**: No. 148
**Spin magnetization**: 0.00 μB per cell
**Fermi-level density of states**: 11.46 states/eV/f.u.

Structure (POSCAR):
```
TbNd3Y3
1.0
-0.955 -6.189 -0.319
4.864 -3.890 -0.727
2.690 -4.316 14.051
Nd Y Tb
6 6 2
Direct
0.462 0.800 0.606 Nd
0.131 0.462 0.606 Nd
0.869 0.538 0.394 Nd
0.800 0.131 0.606 Nd
0.538 0.200 0.394 Nd
0.200 0.869 0.394 Nd
0.935 0.268 0.194 Y
0.065 0.732 0.806 Y
0.268 0.602 0.194 Y
0.732 0.398 0.806 Y
0.398 0.065 0.806 Y
0.602 0.935 0.194 Y
0.333 0.333 0.000 Tb
0.667 0.667 0.000 Tb
```

b.
Density functional theory data (GGA-PBE) for a relaxed TbNd3Y3 crystal.

Values from the calculation:
**SG**: No. 176
**Spin magnetization**: 0.00 μB per cell
**Fermi-level density of states**: 12.97 states/eV/f.u.

Structure (POSCAR):
```
TbNd3Y3
1.0
5.804 0.000 0.000
0.000 9.708 0.000
0.000 -4.854 8.407
Y Tb Nd
6 2 6
Direct
0.250 0.383 0.478 Y
0.250 0.095 0.617 Y
0.750 0.905 0.383 Y
0.750 0.617 0.522 Y
0.250 0.522 0.905 Y
0.750 0.478 0.095 Y
0.750 0.333 0.667 Tb
0.250 0.667 0.333 Tb
0.750 0.051 0.808 Nd
0.250 0.808 0.758 Nd
0.750 0.192 0.242 Nd
0.750 0.758 0.949 Nd
0.250 0.949 0.192 Nd
0.250 0.242 0.051 Nd
```

Quick ranking, most stable first: b, a.

a.
Density functional theory data (GGA-PBE) for a relaxed Tb5Nd2Y5 crystal.

Values from the calculation:
**SG**: No. 12
**Spin magnetization**: 0.00 μB per cell
**Fermi-level density of states**: 20.44 states/eV/f.u.

Structure (POSCAR):
```
Tb5Nd2Y5
1.0
-1.558 0.781 5.412
8.690 -2.463 -0.130
-2.926 9.028 -2.145
Tb Y Nd
5 5 2
Direct
0.377 0.753 0.717 Tb
0.500 0.000 0.500 Tb
0.623 0.247 0.283 Tb
0.375 0.750 0.049 Tb
0.625 0.250 0.951 Tb
0.750 0.500 0.740 Y
0.124 0.248 0.463 Y
0.876 0.752 0.537 Y
0.000 0.000 0.000 Y
0.250 0.500 0.260 Y
0.872 0.744 0.195 Nd
0.128 0.256 0.805 Nd
```

b.
Density functional theory data (GGA-PBE) for a relaxed Tb5Nd2Y5 crystal.

Values from the calculation:
**SG**: No. 12
**Spin magnetization**: 0.00 μB per cell
**Fermi-level density of states**: 17.90 states/eV/f.u.

Structure (POSCAR):
```
Tb5Nd2Y5
1.0
4.955 0.000 1.080
2.058 7.342 2.466
0.252 -0.184 10.751
Y Tb Nd
5 5 2
Direct
0.666 0.668 0.000 Y
0.500 0.500 0.500 Y
0.416 0.918 0.250 Y
0.584 0.082 0.750 Y
0.334 0.332 0.000 Y
0.751 0.248 0.250 Tb
0.249 0.752 0.750 Tb
0.000 0.000 0.000 Tb
0.832 0.835 0.500 Tb
0.168 0.165 0.500 Tb
0.917 0.418 0.749 Nd
0.083 0.582 0.251 Nd
```

Quick ranking, most stable first: b, a.

a.
Density functional theory data (GGA-PBE) for a relaxed TbNdY4 crystal.

Values from the calculation:
**SG**: No. 47
**Spin magnetization**: 0.00 μB per cell
**Fermi-level density of states**: 13.96 states/eV/f.u.

Structure (POSCAR):
```
TbNdY4
1.0
3.432 0.320 0.001
-0.550 5.889 0.001
-0.001 -0.001 9.924
Y Nd Tb
4 1 1
Direct
0.497 0.001 0.818 Y
0.997 0.501 0.690 Y
0.497 0.001 0.186 Y
0.997 0.501 0.314 Y
0.997 0.001 0.502 Nd
0.497 0.501 0.002 Tb
```

b.
Density functional theory data (GGA-PBE) for a relaxed TbNdY4 crystal.

Values from the calculation:
**SG**: No. 12
**Spin magnetization**: 0.00 μB per cell
**Fermi-level density of states**: 9.78 states/eV/f.u.

Structure (POSCAR):
```
TbNdY4
1.0
-9.154 2.415 2.820
-0.404 -4.895 2.882
2.966 8.007 2.770
Y Tb Nd
8 2 2
Direct
0.334 0.748 0.747 Y
0.834 0.248 0.747 Y
0.166 0.248 0.747 Y
0.666 0.252 0.253 Y
0.834 0.752 0.253 Y
0.166 0.752 0.253 Y
0.666 0.748 0.747 Y
0.334 0.252 0.253 Y
0.500 0.000 0.500 Tb
0.000 0.500 0.500 Tb
0.000 0.000 0.000 Nd
0.500 0.500 0.000 Nd
```

Quick ranking, most stable first: b, a.

a.
Density functional theory data (GGA-PBE) for a relaxed Tb5Nd2Y crystal.

Values from the calculation:
**SG**: No. 55
**Spin magnetization**: 0.00 μB per cell
**Fermi-level density of states**: 10.92 states/eV/f.u.

Structure (POSCAR):
```
Tb5Nd2Y
1.0
-2.771 -3.811 1.891
5.576 -4.463 -0.823
4.561 3.255 13.243
Tb Nd Y
10 4 2
Direct
0.500 0.249 0.874 Tb
0.000 0.499 0.750 Tb
0.500 0.251 0.374 Tb
0.000 0.999 0.750 Tb
0.000 0.000 0.000 Tb
0.500 0.749 0.626 Tb
0.000 0.501 0.250 Tb
0.500 0.751 0.126 Tb
0.000 0.500 0.500 Tb
0.000 0.001 0.250 Tb
0.500 0.250 0.125 Nd
0.500 0.750 0.875 Nd
0.500 0.250 0.625 Nd
0.500 0.750 0.375 Nd
0.000 0.500 0.000 Y
0.000 0.000 0.500 Y
```

b.
Density functional theory data (GGA-PBE) for a relaxed Tb5Nd2Y crystal.

Values from the calculation:
**SG**: No. 2
**Spin magnetization**: 0.00 μB per cell
**Fermi-level density of states**: 10.25 states/eV/f.u.

Structure (POSCAR):
```
Tb5Nd2Y
1.0
6.484 -0.036 1.674
-3.176 8.294 -0.856
3.402 -0.023 10.799
Y Nd Tb
2 4 10
Direct
0.192 0.379 0.249 Y
0.808 0.621 0.751 Y
0.191 0.389 0.572 Nd
0.802 0.612 0.072 Nd
0.198 0.388 0.928 Nd
0.809 0.611 0.428 Nd
0.421 0.756 0.389 Tb
0.108 0.015 0.091 Tb
0.413 0.828 0.749 Tb
0.587 0.172 0.251 Tb
0.333 0.755 0.113 Tb
0.667 0.245 0.887 Tb
0.892 0.985 0.909 Tb
0.579 0.244 0.611 Tb
0.090 0.986 0.593 Tb
0.910 0.014 0.407 Tb
```

Quick ranking, most stable first: a, b.

a.
Density functional theory data (GGA-PBE) for a relaxed TbNd2Y2 crystal.

Values from the calculation:
**SG**: No. 14
**Spin magnetization**: 0.00 μB per cell
**Fermi-level density of states**: 7.15 states/eV/f.u.

Structure (POSCAR):
```
TbNd2Y2
1.0
6.584 0.000 -0.666
0.000 12.452 0.000
-1.874 0.000 8.491
Nd Y Tb
8 8 4
Direct
0.259 0.547 0.089 Nd
0.759 0.953 0.089 Nd
0.741 0.453 0.911 Nd
0.755 0.954 0.646 Nd
0.241 0.047 0.911 Nd
0.255 0.546 0.646 Nd
0.245 0.046 0.354 Nd
0.745 0.454 0.354 Nd
0.012 0.303 0.701 Y
0.078 0.794 0.952 Y
0.988 0.697 0.299 Y
0.422 0.294 0.048 Y
0.922 0.206 0.048 Y
0.488 0.803 0.299 Y
0.578 0.706 0.952 Y
0.512 0.197 0.701 Y
0.758 0.655 0.629 Tb
0.258 0.845 0.629 Tb
0.242 0.345 0.371 Tb
0.742 0.155 0.371 Tb
```

b.
Density functional theory data (GGA-PBE) for a relaxed TbNd2Y2 crystal.

Values from the calculation:
**SG**: No. 15
**Spin magnetization**: 0.00 μB per cell
**Fermi-level density of states**: 8.93 states/eV/f.u.

Structure (POSCAR):
```
TbNd2Y2
1.0
1.438 1.526 6.015
1.140 -6.987 4.873
7.518 -5.401 2.946
Nd Y Tb
4 4 2
Direct
0.614 0.251 0.351 Nd
0.386 0.749 0.649 Nd
0.216 0.249 0.149 Nd
0.784 0.751 0.851 Nd
0.014 0.255 0.548 Y
0.986 0.745 0.452 Y
0.818 0.245 0.952 Y
0.182 0.755 0.048 Y
0.417 0.250 0.750 Tb
0.583 0.750 0.250 Tb
```

Quick ranking, most stable first: b, a.

a.
Density functional theory data (GGA-PBE) for a relaxed Tb3Nd2Y3 crystal.

Values from the calculation:
**SG**: No. 71
**Spin magnetization**: 0.00 μB per cell
**Fermi-level density of states**: 12.17 states/eV/f.u.

Structure (POSCAR):
```
Tb3Nd2Y3
1.0
-3.410 -2.148 -3.116
3.426 -3.529 -1.318
-3.199 -3.091 9.795
Nd Y Tb
2 3 3
Direct
0.750 0.250 0.500 Nd
0.250 0.750 0.500 Nd
0.500 0.000 0.000 Y
0.624 0.624 0.247 Y
0.376 0.376 0.753 Y
0.876 0.876 0.753 Tb
0.000 0.500 0.000 Tb
0.124 0.124 0.247 Tb
```

b.
Density functional theory data (GGA-PBE) for a relaxed Tb3Nd2Y3 crystal.

Values from the calculation:
**SG**: No. 12
**Spin magnetization**: 0.00 μB per cell
**Fermi-level density of states**: 11.28 states/eV/f.u.

Structure (POSCAR):
```
Tb3Nd2Y3
1.0
3.556 0.000 0.631
-0.289 6.031 1.638
-0.319 -0.070 12.166
Tb Y Nd
3 3 2
Direct
0.376 0.044 0.248 Tb
0.500 0.500 0.000 Tb
0.624 0.956 0.752 Tb
0.124 0.457 0.752 Y
0.876 0.543 0.248 Y
0.000 0.000 0.000 Y
0.249 0.249 0.501 Nd
0.751 0.751 0.499 Nd
```

Quick ranking, most stable first: b, a.

a.
Density functional theory data (GGA-PBE) for a relaxed Tb3NdY7 crystal.

Values from the calculation:
**SG**: No. 156
**Spin magnetization**: 0.00 μB per cell
**Fermi-level density of states**: 18.30 states/eV/f.u.

Structure (POSCAR):
```
Tb3NdY7
1.0
8.647 0.000 0.001
0.000 7.109 0.000
0.000 -3.554 6.156
Tb Y Nd
3 7 1
Direct
0.784 0.999 0.500 Tb
0.784 0.500 0.500 Tb
0.784 0.500 0.000 Tb
0.449 0.335 0.168 Y
0.449 0.832 0.168 Y
0.116 0.168 0.335 Y
0.118 0.667 0.333 Y
0.116 0.665 0.832 Y
0.116 0.168 0.832 Y
0.449 0.832 0.665 Y
0.448 0.333 0.667 Nd
```

b.
Density functional theory data (GGA-PBE) for a relaxed Tb3NdY7 crystal.

Values from the calculation:
**SG**: No. 10
**Spin magnetization**: 0.00 μB per cell
**Fermi-level density of states**: 18.82 states/eV/f.u.

Structure (POSCAR):
```
Tb3NdY7
1.0
-0.932 -8.792 -1.044
4.844 1.083 8.708
-3.791 3.740 1.644
Y Nd Tb
7 1 3
Direct
0.352 0.712 0.852 Y
0.077 0.169 0.077 Y
0.179 0.361 0.679 Y
0.923 0.831 0.923 Y
0.500 0.000 0.500 Y
0.648 0.288 0.148 Y
0.821 0.639 0.321 Y
0.500 0.500 0.500 Nd
0.000 0.500 0.000 Tb
0.778 0.997 0.278 Tb
0.222 0.003 0.722 Tb
```

Quick ranking, most stable first: b, a.

a.
Density functional theory data (GGA-PBE) for a relaxed Tb9NdY2 crystal.

Values from the calculation:
**SG**: No. 123
**Spin magnetization**: 0.00 μB per cell
**Fermi-level density of states**: 18.90 states/eV/f.u.

Structure (POSCAR):
```
Tb9NdY2
1.0
5.054 0.000 0.000
0.000 5.054 0.000
0.000 0.000 15.163
Y Tb Nd
2 9 1
Direct
0.000 0.000 0.666 Y
0.000 0.000 0.334 Y
0.000 0.500 0.168 Tb
0.500 0.500 0.666 Tb
0.000 0.500 0.500 Tb
0.500 0.000 0.832 Tb
0.500 0.500 0.334 Tb
0.500 0.000 0.500 Tb
0.500 0.500 0.000 Tb
0.500 0.000 0.168 Tb
0.000 0.500 0.832 Tb
0.000 0.000 0.000 Nd
```

b.
Density functional theory data (GGA-PBE) for a relaxed Tb9NdY2 crystal.

Values from the calculation:
**SG**: No. 191
**Spin magnetization**: 0.00 μB per cell
**Fermi-level density of states**: 15.79 states/eV/f.u.

Structure (POSCAR):
```
Tb9NdY2
1.0
3.516 0.000 0.000
0.000 11.312 0.000
0.000 -5.656 9.797
Tb Y Nd
9 2 1
Direct
0.500 0.177 0.823 Tb
0.000 0.500 0.500 Tb
0.500 0.823 0.646 Tb
0.000 0.500 0.000 Tb
0.000 0.000 0.500 Tb
0.500 0.646 0.823 Tb
0.500 0.823 0.177 Tb
0.500 0.177 0.354 Tb
0.500 0.354 0.177 Tb
0.000 0.667 0.333 Y
0.000 0.333 0.667 Y
0.000 0.000 0.000 Nd
```

Quick ranking, most stable first: a, b.

a.
Density functional theory data (GGA-PBE) for a relaxed Tb2Nd3Y4 crystal.

Values from the calculation:
**SG**: No. 12
**Spin magnetization**: 0.00 μB per cell
**Fermi-level density of states**: 11.71 states/eV/f.u.

Structure (POSCAR):
```
Tb2Nd3Y4
1.0
-0.093 3.453 1.040
-3.744 -3.149 3.866
6.541 -3.828 13.287
Y Nd Tb
4 3 2
Direct
0.667 0.333 0.111 Y
0.000 0.999 0.332 Y
0.000 0.001 0.668 Y
0.333 0.667 0.889 Y
0.000 0.000 0.000 Nd
0.332 0.665 0.558 Nd
0.668 0.335 0.442 Nd
0.334 0.667 0.221 Tb
0.666 0.333 0.779 Tb
```

b.
Density functional theory data (GGA-PBE) for a relaxed Tb2Nd3Y4 crystal.

Values from the calculation:
**SG**: No. 15
**Spin magnetization**: 0.00 μB per cell
**Fermi-level density of states**: 14.57 states/eV/f.u.

Structure (POSCAR):
```
Tb2Nd3Y4
1.0
5.761 1.652 1.183
1.984 11.142 0.752
1.984 4.303 10.306
Nd Tb Y
6 4 8
Direct
0.249 0.275 0.059 Nd
0.250 0.604 0.396 Nd
0.251 0.941 0.725 Nd
0.749 0.059 0.275 Nd
0.750 0.396 0.604 Nd
0.751 0.725 0.941 Nd
0.416 0.249 0.519 Tb
0.916 0.519 0.249 Tb
0.084 0.481 0.751 Tb
0.584 0.751 0.481 Tb
0.081 0.817 0.083 Y
0.419 0.917 0.183 Y
0.077 0.154 0.414 Y
0.919 0.183 0.917 Y
0.581 0.083 0.817 Y
0.923 0.846 0.586 Y
0.577 0.414 0.154 Y
0.423 0.586 0.846 Y
```

Quick ranking, most stable first: a, b.

a.
Density functional theory data (GGA-PBE) for a relaxed Tb8Nd5Y crystal.

Values from the calculation:
**SG**: No. 82
**Spin magnetization**: 0.00 μB per cell
**Fermi-level density of states**: 19.67 states/eV/f.u.

Structure (POSCAR):
```
Tb8Nd5Y
1.0
-5.201 6.710 0.770
-4.406 -7.059 -1.852
4.062 -0.825 7.449
Y Tb Nd
1 8 5
Direct
0.250 0.500 0.750 Y
0.570 0.909 0.832 Tb
0.730 0.254 0.333 Tb
0.524 0.603 0.270 Tb
0.079 0.746 0.476 Tb
0.667 0.397 0.921 Tb
0.168 0.738 0.077 Tb
0.923 0.091 0.661 Tb
0.339 0.262 0.430 Tb
0.813 0.677 0.709 Nd
0.031 0.323 0.136 Nd
0.500 0.000 0.500 Nd
0.864 0.896 0.187 Nd
0.291 0.104 0.969 Nd
```

b.
Density functional theory data (GGA-PBE) for a relaxed Tb8Nd5Y crystal.

Values from the calculation:
**SG**: No. 12
**Spin magnetization**: 0.00 μB per cell
**Fermi-level density of states**: 21.00 states/eV/f.u.

Structure (POSCAR):
```
Tb8Nd5Y
1.0
-0.397 1.502 -3.212
-15.660 -6.487 -1.092
-6.467 4.003 4.654
Y Nd Tb
1 5 8
Direct
0.500 0.500 0.000 Y
0.286 0.644 0.572 Nd
0.000 0.000 0.000 Nd
0.645 0.060 0.289 Nd
0.355 0.940 0.710 Nd
0.714 0.356 0.428 Nd
0.582 0.777 0.163 Tb
0.147 0.559 0.294 Tb
0.784 0.146 0.567 Tb
0.922 0.721 0.844 Tb
0.216 0.854 0.433 Tb
0.078 0.279 0.156 Tb
0.853 0.441 0.706 Tb
0.418 0.223 0.837 Tb
```

Quick ranking, most stable first: b, a.